No. 1
VASP calculation (PBE) on a relaxed structure of InOsW4.

extended XYZ file:
```
6
Lattice="0.000 3.731 3.731 3.731 0.000 3.731 3.731 3.731 0.000" Properties=species:S:1:pos:R:3 pbc="T T T"
In 5.596 5.596 5.596
Os 0.000 0.000 0.000
W 2.810 4.652 4.652
W 4.652 4.652 2.810
W 4.652 2.810 4.652
W 2.810 2.810 2.810
```

Final energy, eV/atom: -10.3217
Fermi-level density of states, states/eV per atom: 0.9719
Crystal system: cubic
Space-group type: No. 216
ΔH_f (0 K), kJ/mol of atoms: 61.93

No. 2
VASP calculation (PBE) on a relaxed structure of Y4In2Os.

extended XYZ file:
```
7
Lattice="-0.136 0.177 -5.363 -3.691 -3.897 -0.035 -7.442 3.373 -2.385" Properties=species:S:1:pos:R:3 pbc="T T T"
Y -5.493 1.528 -2.496
Y -5.776 -1.875 -5.288
Y -1.845 -1.949 -0.018
Y -0.068 0.089 -2.682
Os 0.000 0.000 0.000
In -3.257 -0.589 -2.623
In -8.013 0.241 -5.161
```

Final energy, eV/atom: -6.1798
Fermi-level density of states, states/eV per atom: 0.6441
Crystal system: tetragonal
Space-group type: No. 139
ΔH_f (0 K), kJ/mol of atoms: -9.59

No. 3
VASP calculation (PBE) on a relaxed structure of Y2InOs.

extended XYZ file:
```
8
Lattice="-6.825 -0.327 -4.726 -3.380 -5.471 5.260 -6.290 -0.665 1.828" Properties=species:S:1:pos:R:3 pbc="T T T"
Y -6.699 -1.075 -2.142
Y -4.101 -3.605 3.457
Y -8.328 -2.322 1.234
Y -13.864 -5.922 2.175
Os 0.000 0.000 0.000
Os -9.109 -1.945 -1.316
In -5.103 -2.899 0.267
In -7.387 -4.517 3.677
```

Final energy, eV/atom: -6.5841
Fermi-level density of states, states/eV per atom: 0.7364
Crystal system: tetragonal
Space-group type: No. 122
ΔH_f (0 K), kJ/mol of atoms: 13.50

No. 4
VASP calculation (PBE) on a relaxed structure of Y2InOs.

extended XYZ file:
```
4
Lattice="-3.371 -2.342 3.317 3.053 -3.169 2.914 0.602 5.152 -0.973" Properties=species:S:1:pos:R:3 pbc="T T T"
In -0.159 -2.755 3.115
Os -1.464 0.027 2.730
Y 0.000 0.000 0.000
Y 1.748 -0.386 2.528
```

Final energy, eV/atom: -6.7695
Fermi-level density of states, states/eV per atom: 0.8122
Crystal system: tetragonal
Space-group type: No. 119
ΔH_f (0 K), kJ/mol of atoms: -4.39

No. 5
VASP calculation (PBE) on a relaxed structure of Y2InOs.

extended XYZ file:
```
4
Lattice="-1.673 0.888 -6.297 -4.488 -2.485 -4.114 -2.588 2.211 0.079" Properties=species:S:1:pos:R:3 pbc="T T T"
In -4.169 0.527 -4.561
Os -2.191 0.150 -2.593
Y -2.774 2.013 -0.466
Y -6.579 0.443 -7.798
```

Final energy, eV/atom: -6.8965
Fermi-level density of states, states/eV per atom: 0.7970
Crystal system: orthorhombic
Space-group type: No. 44
ΔH_f (0 K), kJ/mol of atoms: -16.63

No. 6
VASP calculation (PBE) on a relaxed structure of Y4InOs.

extended XYZ file:
```
6
Lattice="5.033 0.000 0.000 2.517 4.355 0.253 2.517 0.982 8.196" Properties=species:S:1:pos:R:3 pbc="T T T"
Y 5.033 2.859 0.940
Y 5.033 2.478 7.509
Y 2.517 1.140 5.437
Y 7.550 4.197 3.012
In 5.033 2.669 4.225
Os 0.000 0.000 0.000
```

Polymorph energy (0 for the lowest one), eV/atom: 0.152
Final energy, eV/atom: -6.8199
Fermi-level density of states, states/eV per atom: 0.8382
Crystal system: trigonal
Space-group type: No. 166
ΔH_f (0 K), kJ/mol of atoms: -17.61